Entry from Alexandria via LeMat-Bulk: an optimized crystal structure of Na3LaHg4 (GGA-PBE).

The structure in extended XYZ format:
```
8
Lattice="-1.9435 -1.8362 4.6266 2.2044 -4.2837 2.3117 5.5672 3.1297 6.6665" Properties=species:S:1:pos:R:3 pbc="T T T"
Na 1.5112 -0.6965 3.4442
Na 4.3169 -2.2937 10.1606
Na 2.9141 -1.4951 6.8024
Hg 2.2828 -4.2126 8.5446
Hg 4.9739 0.4480 8.4388
Hg 3.5453 1.2224 5.0602
Hg 0.8543 -3.4382 5.1660
La 0.0000 0.0000 0.0000
```

Summary:
The calculation puts the energy of formation at -307 meV/atom. Its space-group type is R-3m. The calculation puts the mass density at 7.80 g/cm3. For the density of states at the Fermi level, the calculation gives 4.0 states/eV/f.u. For the volume, the calculation gives 26.9 Å³ per atom.

Entry from Alexandria via LeMat-Bulk: an optimized crystal structure of NaLaHg14 (GGA-PBE).

The structure in extended XYZ format:
```
16
Lattice="6.8663 -0.0145 0.0000 0.0147 6.8663 0.0000 0.0000 0.0000 8.9032" Properties=species:S:1:pos:R:3 pbc="T T T"
Na 2.5803 2.5694 4.4516
La 6.0209 5.9953 4.4516
Hg 6.0209 5.9953 0.0000
Hg 2.5803 2.5694 0.0000
Hg 6.0136 2.5622 4.4516
Hg 6.0135 2.5622 0.0000
Hg 2.5877 6.0026 4.4516
Hg 2.5877 6.0026 0.0000
Hg 4.2565 0.8862 2.1939
Hg 4.2565 0.8862 6.7093
Hg 0.9043 4.2526 2.1939
Hg 0.9043 4.2526 6.7093
Hg 4.2634 4.2454 2.1939
Hg 4.2634 4.2454 6.7093
Hg 0.8973 0.8935 2.1941
Hg 0.8973 0.8935 6.7091
```

Summary:
The calculation puts the energy of formation at -153 meV/atom. Its space-group type is P4/mmm. The calculation puts the mass density at 11.75 g/cm3. For the density of states at the Fermi level, the calculation gives 5.7 states/eV/f.u. For the volume, the calculation gives 26.2 Å³ per atom.

Entry from Alexandria via LeMat-Bulk: an optimized crystal structure of NaLa2Hg2 (GGA-PBE).

The structure in extended XYZ format:
```
10
Lattice="8.8933 0.0000 0.0000 0.0000 8.8933 0.0000 0.0000 0.0000 3.9868" Properties=species:S:1:pos:R:3 pbc="T T T"
Na 0.0000 0.0000 0.0000
Na 4.4467 4.4467 0.0000
Hg 3.2288 7.6755 0.0000
Hg 7.6755 5.6645 0.0000
Hg 5.6645 1.2179 0.0000
Hg 1.2179 3.2288 0.0000
La 1.4145 5.8611 1.9934
La 5.8611 7.4789 1.9934
La 7.4789 3.0322 1.9934
La 3.0322 1.4145 1.9934
```

Summary:
The calculation puts the energy of formation at -338 meV/atom. Its space-group type is P4/mbm. The calculation puts the mass density at 7.39 g/cm3. For the density of states at the Fermi level, the calculation gives 5.0 states/eV/f.u. For the volume, the calculation gives 31.5 Å³ per atom. For the energy above the most stable polymorph in this dataset, the calculation gives 0 meV per atom.

Entry from Alexandria via LeMat-Bulk: an optimized crystal structure of NaLa3Hg4 (GGA-PBE).

The structure in extended XYZ format:
```
8
Lattice="-1.4367 4.7233 2.2890 1.1217 0.9355 5.2421 7.8376 5.4326 0.1780" Properties=species:S:1:pos:R:3 pbc="T T T"
Na 0.0000 0.0000 0.0000
Hg 2.6622 6.9882 6.6568
Hg 6.7333 6.8727 2.9818
Hg 4.8603 4.1032 1.0523
Hg 0.7892 4.2187 4.7273
La 1.7680 2.7225 1.9604
La 5.7545 8.3689 5.7488
La 3.7612 5.5457 3.8546
```

Summary:
The calculation puts the energy of formation at -450 meV/atom. Its space-group type is R-3m. The calculation puts the mass density at 8.93 g/cm3. For the density of states at the Fermi level, the calculation gives 7.6 states/eV/f.u. For the volume, the calculation gives 28.9 Å³ per atom.

Entry from Alexandria via LeMat-Bulk: an optimized crystal structure of Na3LaHg7 (GGA-PBE).

The structure in extended XYZ format:
```
22
Lattice="3.6268 0.0000 0.0000 -1.8134 10.7864 0.0000 0.0000 0.0000 16.2750" Properties=species:S:1:pos:R:3 pbc="T T T"
Na 0.0000 2.4964 7.9301
Na 1.8134 8.2900 8.3448
Na 0.0000 5.0843 12.2062
Na 1.8134 5.7021 4.0687
Na 0.0000 2.4964 0.2074
Na 1.8134 8.2900 16.0676
La 1.8134 10.4974 4.0687
La 0.0000 0.2890 12.2062
Hg 0.0000 8.2316 12.2062
Hg 1.8134 2.5547 4.0687
Hg 1.8134 0.1531 6.7209
Hg 0.0000 10.6333 9.5541
Hg 0.0000 10.6333 14.8583
Hg 1.8134 0.1531 1.4166
Hg 0.0000 8.0551 5.6044
Hg 1.8134 2.7313 10.6706
Hg 0.0000 5.3857 6.8340
Hg 1.8134 5.4007 9.4410
Hg 1.8134 5.4007 14.9714
Hg 0.0000 5.3857 1.3035
Hg 0.0000 8.0551 2.5331
Hg 1.8134 2.7313 13.7419
```

Summary:
The calculation puts the energy of formation at -218 meV/atom. Its space-group type is Cmcm. The calculation puts the mass density at 8.41 g/cm3. For the density of states at the Fermi level, the calculation gives 6.0 states/eV/f.u. For the volume, the calculation gives 28.9 Å³ per atom.

Entry from Alexandria via LeMat-Bulk: an optimized crystal structure of NaLaHg2 (GGA-PBE).

The structure in extended XYZ format:
```
4
Lattice="-1.2506 -0.6081 5.1741 -3.5115 -3.7651 1.4826 1.6821 -4.3287 2.6717" Properties=species:S:1:pos:R:3 pbc="T T T"
Na 0.0000 0.0000 0.0000
Hg -0.7700 -2.1755 2.3321
Hg -2.3100 -6.5264 6.9963
La -1.5400 -4.3509 4.6642
```

Summary:
The calculation puts the energy of formation at -409 meV/atom. Its space-group type is Fm-3m. The calculation puts the mass density at 8.60 g/cm3. For the density of states at the Fermi level, the calculation gives 1.9 states/eV/f.u. For the volume, the calculation gives 27.2 Å³ per atom. For the energy above the most stable polymorph in this dataset, the calculation gives 0 meV per atom.

Entry from Alexandria via LeMat-Bulk: an optimized crystal structure of NaLa3Hg2 (GGA-PBE).

The structure in extended XYZ format:
```
6
Lattice="-0.8252 2.4197 3.0829 -3.5668 -3.7459 1.9854 7.9539 -1.6581 3.4306" Properties=species:S:1:pos:R:3 pbc="T T T"
Na 0.0000 0.0000 0.0000
La -2.1960 -0.6631 2.5341
La 1.7777 -2.9371 5.3827
La 1.7841 -0.0472 3.1162
Hg 4.2541 -2.4344 3.0495
Hg -0.6923 -0.5499 5.4493
```

Summary:
The calculation puts the energy of formation at -255 meV/atom. Its space-group type is Cmmm. The calculation puts the mass density at 7.52 g/cm3. For the density of states at the Fermi level, the calculation gives 8.0 states/eV/f.u. For the volume, the calculation gives 31.0 Å³ per atom.

Entry from Alexandria via LeMat-Bulk: an optimized crystal structure of NaLaNd2Hg4 (GGA-PBE).

The structure in extended XYZ format:
```
8
Lattice="-2.6692 4.5226 -1.1062 -4.8536 -0.2375 -2.2779 -6.2960 1.1734 6.9708" Properties=species:S:1:pos:R:3 pbc="T T T"
Na -6.9094 2.7292 1.7934
La 0.0000 0.0000 0.0000
Nd -10.3042 4.0979 2.5620
Nd -3.5146 1.3606 1.0247
Hg -8.3102 2.6350 4.7880
Hg -8.9486 4.1892 -0.3359
Hg -4.8702 1.2693 3.9227
Hg -5.5086 2.8235 -1.2013
```

Summary:
The calculation puts the energy of formation at -425 meV/atom. Its space-group type is R-3m. The calculation puts the mass density at 9.32 g/cm3. For the density of states at the Fermi level, the calculation gives 7.6 states/eV/f.u. For the volume, the calculation gives 27.9 Å³ per atom.